Computed, not measured: a relaxed structure of CsNa2TeF at the GGA-PBE level of DFT.

Cell lengths 5.2095, 5.2095, 5.5154 Å; angles 90.00, 90.00, 90.00 degrees
With the nearest neighbours (Å) after each atom.
Atoms (fractional coordinates):
Cs 0.0000 0.0000 0.5000  2 F 2.76
Na 0.0000 0.5000 0.0000  2 F 2.60
Na 0.5000 0.0000 0.0000  2 F 2.60
Te 0.5000 0.5000 0.5000  4 Cs 3.68, 8 Na 3.79
F 0.0000 0.0000 0.0000  4 Na 2.60, 2 Cs 2.76

## Properties
Energy (eV per atom): -3.171
V (Å³/atom): 29.94
E_form (uncorrected) (meV/atom): -1470